[1]
The following is a meta-GGA SCAN calculation of a PBEsol-optimized structure of Ba2AgSb, from the Alexandria database.

M_tot (μB per formula unit): 0.0
Raw formation energy (eV per atom): -0.763
Crystal system: orthorhombic

abc: 4.8588 6.6983 6.6983
angles: 41.63 90.00 90.00
Fractional positions:
Ba 0.0000 0.0000 0.0000
Ba 0.5000 0.2761 0.2761
Ag 0.0000 0.7056 0.7056
Sb 0.5000 0.5647 0.5647

[2]
The following is a meta-GGA SCAN calculation of a PBEsol-optimized structure of Na2ZnP4H16O20, from the Alexandria database.

M_tot (μB per formula unit): 0.0
Crystal system: monoclinic
Energy (eV for the cell shown): -629.9

abc: 7.1504 10.6477 11.7696
angles: 90.00 114.92 90.00
Fractional positions:
Na 0.2149 0.1741 0.4622
Na 0.2149 0.3259 0.9622
Na 0.7851 0.6741 0.0378
Na 0.7851 0.8259 0.5378
Zn 0.5000 0.0000 0.0000
Zn 0.5000 0.5000 0.5000
P 0.0431 0.0435 0.7817
P 0.0431 0.4565 0.2817
P 0.3174 0.7337 0.0833
P 0.3174 0.7663 0.5833
P 0.6826 0.2337 0.4167
P 0.6826 0.2663 0.9167
P 0.9569 0.5435 0.7183
P 0.9569 0.9565 0.2183
H 0.1002 0.5976 0.9393
H 0.1002 0.9024 0.4393
H 0.1071 0.5931 0.4306
H 0.1071 0.9069 0.9306
H 0.1459 0.7099 0.7128
H 0.1459 0.7901 0.2128
H 0.2569 0.0931 0.1101
H 0.2569 0.4069 0.6101
H 0.3524 0.0404 0.7138
H 0.3524 0.4596 0.2138
H 0.4739 0.6234 0.7984
H 0.4739 0.8766 0.2984
H 0.4746 0.1658 0.1623
H 0.4746 0.3342 0.6623
H 0.4776 0.5533 0.1173
H 0.4776 0.9467 0.6173
H 0.5224 0.0533 0.3827
H 0.5224 0.4467 0.8827
H 0.5254 0.6658 0.3377
H 0.5254 0.8342 0.8377
H 0.5261 0.1234 0.7016
H 0.5261 0.3766 0.2016
H 0.6476 0.5404 0.7862
H 0.6476 0.9596 0.2862
H 0.7431 0.5931 0.3899
H 0.7431 0.9069 0.8899
H 0.8541 0.2099 0.7872
H 0.8541 0.2901 0.2872
H 0.8929 0.0931 0.0694
H 0.8929 0.4069 0.5694
H 0.8998 0.0976 0.5607
H 0.8998 0.4024 0.0607
O 0.0074 0.1837 0.8086
O 0.0074 0.3163 0.3086
O 0.0226 0.0455 0.1334
O 0.0226 0.4545 0.6334
O 0.0923 0.5132 0.8549
O 0.0923 0.9868 0.3549
O 0.1074 0.6647 0.0134
O 0.1074 0.8353 0.5134
O 0.2746 0.0285 0.8210
O 0.2746 0.4715 0.3210
O 0.3146 0.6432 0.5156
O 0.3146 0.8568 0.0156
O 0.3460 0.7448 0.7200
O 0.3460 0.7552 0.2200
O 0.3614 0.1299 0.0848
O 0.3614 0.3701 0.5848
O 0.4189 0.0583 0.6540
O 0.4189 0.4417 0.1540
O 0.4950 0.6470 0.0846
O 0.4950 0.8530 0.5846
O 0.5050 0.1470 0.4154
O 0.5050 0.3530 0.9154
O 0.5811 0.5583 0.8460
O 0.5811 0.9417 0.3460
O 0.6386 0.6299 0.4152
O 0.6386 0.8701 0.9152
O 0.6540 0.2448 0.7800
O 0.6540 0.2552 0.2800
O 0.6854 0.1432 0.9844
O 0.6854 0.3568 0.4844
O 0.7254 0.5285 0.6790
O 0.7254 0.9715 0.1790
O 0.8926 0.1647 0.4866
O 0.8926 0.3353 0.9866
O 0.9077 0.0132 0.6451
O 0.9077 0.4868 0.1451
O 0.9774 0.5455 0.3666
O 0.9774 0.9545 0.8666
O 0.9926 0.6837 0.6914
O 0.9926 0.8163 0.1914

[3]
The following is a meta-GGA SCAN calculation of a PBEsol-optimized structure of Tl2SiF6, from the Alexandria database.

M_tot (μB per formula unit): 0.0
Raw formation energy (eV per atom): -2.792
Crystal system: cubic

abc: 5.9278 5.9278 5.9278
angles: 60.00 60.00 60.00
Fractional positions:
Tl 0.2500 0.2500 0.2500
Tl 0.7500 0.7500 0.7500
Si 0.0000 0.0000 0.0000
F 0.2042 0.2042 0.7958
F 0.2042 0.7958 0.2042
F 0.2042 0.7958 0.7958
F 0.7958 0.2042 0.2042
F 0.7958 0.2042 0.7958
F 0.7958 0.7958 0.2042

[4]
The following is a meta-GGA SCAN calculation of a PBEsol-optimized structure of MgB2C2, from the Alexandria database.

Formation enthalpy at 0 K (kJ/mol of formula units): -115
M_tot (μB per formula unit): 0.0
Crystal system: orthorhombic

abc: 4.6208 7.1718 2.7683
angles: 90.00 90.00 90.00
Fractional positions:
Mg 0.0000 0.0000 0.0000
Mg 0.5000 0.5000 0.5000
B 0.1156 0.2705 0.5000
B 0.3844 0.7705 0.0000
B 0.6156 0.2295 0.0000
B 0.8844 0.7295 0.5000
C 0.2159 0.7792 0.5000
C 0.2841 0.2792 0.0000
C 0.7159 0.7208 0.0000
C 0.7841 0.2208 0.5000

[5]
The following is a meta-GGA SCAN calculation of a PBEsol-optimized structure of NaSiOsPt2, from the Alexandria database.

M_tot (μB per formula unit): 0.0
Raw formation energy (eV per atom): 0.594
Crystal system: tetragonal

abc: 4.8890 4.8890 4.5265
angles: 90.00 90.00 90.00
Fractional positions:
Na 0.0000 0.0000 0.0000
Si 0.5000 0.5000 0.0000
Os 0.5000 0.5000 0.5000
Pt 0.0000 0.5000 0.5000
Pt 0.5000 0.0000 0.5000

[6]
The following is a meta-GGA SCAN calculation of a PBEsol-optimized structure of HfZn2Pt2, from the Alexandria database.

Formation enthalpy at 0 K (kJ/mol of formula units): -396
M_tot (μB per formula unit): 0.0
Crystal system: tetragonal

abc: 7.0432 7.0432 7.0432
angles: 151.13 151.13 41.29
Fractional positions:
Hf 0.0000 0.0000 0.0000
Zn 0.2500 0.7500 0.5000
Zn 0.7500 0.2500 0.5000
Pt 0.3988 0.3988 0.0000
Pt 0.6012 0.6012 0.0000

[7]
The following is a meta-GGA SCAN calculation of a PBEsol-optimized structure of BeNiCl, from the Alexandria database.

Excess energy over the best structure of this formula in the dataset (eV per atom): 0.000
M_tot (μB per formula unit): 0.0
Raw formation energy (eV per atom): -0.002
Crystal system: trigonal

abc: 2.8865 2.8865 5.0552
angles: 90.00 90.00 120.00
Fractional positions:
Be 0.0000 0.0000 0.0000
Ni 0.6667 0.3333 0.3029
Cl 0.3333 0.6667 0.7146

[8]
The following is a meta-GGA SCAN calculation of a PBEsol-optimized structure of SbP3, from the Alexandria database.

Excess energy over the best structure of this formula in the dataset (eV per atom): 0.306
M_tot (μB per formula unit): 0.0
Raw formation energy (eV per atom): 1.008
Crystal system: cubic

abc: 5.1889 5.1889 5.1889
angles: 90.00 90.00 90.00
Fractional positions:
Sb 0.0000 0.0000 0.0000
Sb 0.5000 0.5000 0.5000
P 0.0000 0.2500 0.5000
P 0.0000 0.7500 0.5000
P 0.2500 0.5000 0.0000
P 0.5000 0.0000 0.2500
P 0.5000 0.0000 0.7500
P 0.7500 0.5000 0.0000

[9]
The following is a meta-GGA SCAN calculation of a PBEsol-optimized structure of Ru2Se, from the Alexandria database.

Excess energy over the best structure of this formula in the dataset (eV per atom): 0.034
M_tot (μB per formula unit): 0.0
Raw formation energy (eV per atom): 0.277
Crystal system: cubic

abc: 4.0088 4.0088 4.0088
angles: 60.00 60.00 60.00
Fractional positions:
Ru 0.2500 0.2500 0.2500
Ru 0.7500 0.7500 0.7500
Se 0.0000 0.0000 0.0000

[10]
The following is a meta-GGA SCAN calculation of a PBEsol-optimized structure of NaYCu2Si, from the Alexandria database.

M_tot (μB per formula unit): 0.8
Raw formation energy (eV per atom): 0.274
Crystal system: tetragonal

abc: 4.5193 4.5193 5.2788
angles: 90.00 90.00 90.00
Fractional positions:
Na 0.0000 0.0000 0.0000
Y 0.5000 0.5000 0.0000
Cu 0.0000 0.5000 0.5000
Cu 0.5000 0.0000 0.5000
Si 0.5000 0.5000 0.5000

[11]
The following is a meta-GGA SCAN calculation of a PBEsol-optimized structure of LiNiSb2, from the Alexandria database.

Excess energy over the best structure of this formula in the dataset (eV per atom): 0.408
M_tot (μB per formula unit): 0.0
Raw formation energy (eV per atom): 0.272
Crystal system: cubic

abc: 4.7936 4.7936 4.7936
angles: 60.00 60.00 60.00
Fractional positions:
Li 0.0000 0.0000 0.0000
Ni 0.7500 0.7500 0.7500
Sb 0.2500 0.2500 0.2500
Sb 0.5000 0.5000 0.5000

[12]
The following is a meta-GGA SCAN calculation of a PBEsol-optimized structure of As2BrCl, from the Alexandria database.

Excess energy over the best structure of this formula in the dataset (eV per atom): 0.714
M_tot (μB per formula unit): 0.0
Raw formation energy (eV per atom): 0.362
Crystal system: orthorhombic

abc: 3.2205 4.4870 5.6177
angles: 90.00 90.00 90.00
Fractional positions:
As 0.0000 0.0000 0.0000
As 0.5000 0.0000 0.5000
Br 0.0000 0.5000 0.5000
Cl 0.5000 0.5000 0.0000